A relaxed structure of LiCu2Ag. Source: Alexandria, functional GGA-PBEsol.

Results
- Space group: F-43m
- Energy of formation: 6 meV per atom
- D(E_F): 1.34 states/eV/cell
- Excess energy over the best structure of this formula in the dataset: 0.0260 eV/atom

a b c (Å): 4.1787 4.1787 4.1787
angles (deg): 60.00 60.00 60.00
Element x y z (fractional)
Ag (0.5000, 0.5000, 0.5000)
Cu (0.0000, 0.0000, 0.0000)
Cu (0.7500, 0.7500, 0.7500)
Li (0.2500, 0.2500, 0.2500)


A relaxed structure of LiCu2Ag. Source: Alexandria, functional GGA-PBEsol.

Results
- Space group: C2/m
- Energy of formation: 0 meV per atom
- D(E_F): 1.08 states/eV/cell
- Excess energy over the best structure of this formula in the dataset: 0.0197 eV/atom

a b c (Å): 2.6560 4.4292 4.6683
angles (deg): 99.30 106.53 90.00
Element x y z (fractional)
Ag (0.5000, 0.0000, 0.0000)
Cu (0.2486, 0.2530, 0.4971)
Cu (0.7514, 0.7470, 0.5029)
Li (0.0000, 0.5000, 0.0000)


A relaxed structure of LiCu2Ag. Source: Alexandria, functional GGA-PBEsol.

Results
- Space group: I-4m2
- Energy of formation: -9 meV per atom
- D(E_F): 1.09 states/eV/cell
- Excess energy over the best structure of this formula in the dataset: 0.0103 eV/atom

a b c (Å): 3.7666 3.7666 4.5098
angles (deg): 114.68 114.68 90.00
Element x y z (fractional)
Ag (0.2500, 0.7500, 0.5000)
Cu (0.0000, 0.0000, 0.0000)
Cu (0.7500, 0.2500, 0.5000)
Li (0.5000, 0.5000, 0.0000)


A relaxed structure of LiCu2Ag. Source: Alexandria, functional GGA-PBEsol.

Results
- Space group: Pm
- Energy of formation: -3 meV per atom
- D(E_F): 1.18 states/eV/cell
- Excess energy over the best structure of this formula in the dataset: 0.0170 eV/atom

a b c (Å): 2.6478 3.6358 5.4028
angles (deg): 90.00 90.08 90.00
Element x y z (fractional)
Ag (0.4997, 0.5000, 0.7486)
Cu (0.0003, 0.0000, 0.0239)
Cu (0.5004, 0.5000, 0.2396)
Li (0.9995, 0.0000, 0.4879)